1.
A relaxed Eu2MnGa4 crystal, computed with PBE.

a = 4.617 Å, b = 4.617 Å, c = 15.412 Å
α = 90.00°, β = 90.00°, γ = 90.00°
Space group I4/mmm (No. 139)
Inequivalent atoms, fractional coordinates:
Eu 0.000 0.000 0.146
Mn 0.000 0.000 0.500
Ga 0.000 0.000 0.347
Ga 0.000 0.500 0.000

Properties
Crystal system   tetragonal
Total DFT energy (no corrections)   -6.27 eV/atom

---

2.
A relaxed RbNiPd crystal, computed with PBE.

a = 5.177 Å, b = 4.440 Å, c = 6.222 Å
α = 90.00°, β = 103.99°, γ = 90.00°
Space group Pm (No. 6)
Inequivalent atoms, fractional coordinates:
Rb 0.000 0.000 0.000
Rb 0.489 0.500 0.918
Ni 0.381 0.500 0.422
Ni 0.631 0.000 0.455
Pd 0.168 0.000 0.508
Pd 0.877 0.500 0.459

Properties
Crystal system   monoclinic
Total DFT energy (no corrections)   -3.76 eV/atom

---

3.
A relaxed AgTeRh2 crystal, computed with PBE.

a = 6.513 Å, b = 6.513 Å, c = 6.513 Å
α = 90.00°, β = 90.00°, γ = 90.00°
Space group F-43m (No. 216)
Inequivalent atoms, fractional coordinates:
Ag 0.000 0.000 0.000
Te 0.250 0.250 0.250
Rh 0.000 0.000 0.500
Rh 0.250 0.250 0.750

Properties
Formation energy from raw total energies   236 meV per atom
Crystal system   cubic
Total DFT energy (no corrections)   -4.94 eV/atom

---

4.
A relaxed DyIrPt crystal, computed with PBE.

a = 4.1123 Å, b = 4.1123 Å, c = 14.3988 Å
α = 90.00°, β = 90.00°, γ = 120.00°
Space group R3m (No. 160, hexagonal axes)
Inequivalent atoms, fractional coordinates:
Dy 0.0000 0.0000 0.0000
Ir 0.0000 0.0000 0.8027
Pt 0.0000 0.0000 0.1966

Properties
Crystal system   trigonal
Total DFT energy (no corrections)   -6.68 eV/atom

---

5.
A relaxed Sb3Pd4Se crystal, computed with PBE.

a = 4.985 Å, b = 9.127 Å, c = 8.090 Å
α = 90.00°, β = 90.00°, γ = 90.00°
Space group Pmmn (No. 59, origin choice 2)
Inequivalent atoms, fractional coordinates:
Sb 0.250 0.001 0.231
Sb 0.250 0.750 0.736
Pd 0.250 0.005 0.902
Pd 0.250 0.250 0.414
Pd 0.250 0.750 0.401
Se 0.250 0.250 0.726

Properties
Formation energy from raw total energies   -306 meV per atom
Crystal system   orthorhombic
Total DFT energy (no corrections)   -4.88 eV/atom

---

6.
A relaxed FeMoAs2 crystal, computed with PBE.

a = 5.593 Å, b = 5.593 Å, c = 10.341 Å
α = 90.00°, β = 90.00°, γ = 90.00°
Space group I-42d (No. 122)
Inequivalent atoms, fractional coordinates:
Fe 0.000 0.000 0.000
Mo 0.000 0.000 0.500
As 0.220 0.250 0.125

Properties
Crystal system   tetragonal
Total DFT energy (no corrections)   -6.68 eV/atom

---

7.
A relaxed VSiS crystal, computed with PBE.

a = 8.234 Å, b = 3.345 Å, c = 7.153 Å
α = 90.00°, β = 106.26°, γ = 90.00°
Space group Cm (No. 8)
Inequivalent atoms, fractional coordinates:
V 0.000 0.000 0.000
V 0.233 0.500 0.591
Si 0.186 0.500 0.914
Si 0.340 0.000 0.128
S 0.033 0.000 0.663
S 0.194 0.000 0.340

Properties
Formation energy from raw total energies   -373 meV per atom
Crystal system   monoclinic
Total DFT energy (no corrections)   -6.60 eV/atom

---

8.
A relaxed CaTeSeF crystal, computed with PBE.

a = 4.007 Å, b = 5.243 Å, c = 5.982 Å
α = 107.80°, β = 90.29°, γ = 111.70°
Space group P1 (No. 1)
Inequivalent atoms, fractional coordinates:
Ca 0.000 0.000 0.000
Te 0.765 0.524 0.432
Se 0.041 0.087 0.522
F 0.418 0.830 0.978

Properties
Formation energy from raw total energies   -1708 meV per atom
Crystal system   triclinic
Total DFT energy (no corrections)   -4.33 eV/atom

---

9.
A relaxed RbSiB crystal, computed with PBE.

a = 5.308 Å, b = 5.308 Å, c = 13.238 Å
α = 90.00°, β = 90.00°, γ = 90.00°
Space group P4_122 (No. 91)
Inequivalent atoms, fractional coordinates:
Rb 0.000 0.252 0.000
Si 0.268 0.500 0.250
B 0.422 0.422 0.375

Properties
Formation energy from raw total energies   539 meV per atom
Crystal system   tetragonal
Total DFT energy (no corrections)   -3.82 eV/atom

---

10.
A relaxed LiAs2SeBr crystal, computed with PBE.

a = 4.889 Å, b = 4.889 Å, c = 8.168 Å
α = 90.00°, β = 90.00°, γ = 90.00°
Space group P4/mmm (No. 123)
Inequivalent atoms, fractional coordinates:
Li 0.000 0.000 0.000
As 0.000 0.500 0.500
Se 0.500 0.500 0.500
Br 0.500 0.500 0.000

Properties
Formation energy from raw total energies   301 meV per atom
Crystal system   tetragonal
Total DFT energy (no corrections)   -2.97 eV/atom

---

11.
A relaxed ScWSeN2 crystal, computed with PBE.

a = 3.932 Å, b = 3.932 Å, c = 5.171 Å
α = 90.00°, β = 90.00°, γ = 90.00°
Space group P4/mmm (No. 123)
Inequivalent atoms, fractional coordinates:
Sc 0.000 0.000 0.000
W 0.500 0.500 0.500
Se 0.500 0.500 0.000
N 0.000 0.500 0.500

Properties
Formation energy from raw total energies   -226 meV per atom
Crystal system   tetragonal
Total DFT energy (no corrections)   -8.11 eV/atom

---

12.
A relaxed FeCoOs crystal, computed with PBE.

a = 2.6351 Å, b = 2.6351 Å, c = 6.2241 Å
α = 90.00°, β = 90.00°, γ = 120.00°
Space group P3m1 (No. 156)
Inequivalent atoms, fractional coordinates:
Fe 0.0000 0.0000 0.0000
Co 0.3333 0.6667 0.6840
Os 0.6667 0.3333 0.3418

Properties
Crystal system   trigonal
Total DFT energy (no corrections)   -8.76 eV/atom